Entry from the Open Quantum Materials Database: crystalline Mo2NCl3 at its relaxed geometry (PBE).

## Properties
* mass density: 4.7 Mg/m³
* total magnetization: 1.8 μB per formula unit
* uncorrected energy: -6.17 eV/atom

Lattice parameters (Å, degrees): 7.247 7.247 7.247 130.52 74.41 128.24
Last column: magnetic moment on the atom in μB.
Positions (direct):
Cl (0.719, 0.344, 0.063)  0.02
Cl (0.219, 0.156, 0.374)  0.02
Cl (0.750, 0.250, 0.500)  0.01
Cl (0.250, 0.750, 0.500)  0.01
Cl (0.781, 0.844, 0.626)  0.02
Cl (0.281, 0.656, 0.937)  0.02
Mo (0.922, 0.143, 0.065)  0.79
Mo (0.578, 0.643, 0.221)  0.79
Mo (0.422, 0.357, 0.779)  0.79
Mo (0.078, 0.857, 0.935)  0.79
N (0.250, 0.250, 0.000)  -0.06
N (0.750, 0.750, 0.000)  -0.06